(1)
DFT (PBE) results for an optimized crystal structure of Pm3PrTm6Sc2.

Cell lengths 6.080, 6.080, 11.619 Å; angles 94.99, 94.99, 119.99 degrees
Sites, in units of the cell vectors:
Pm (0.000, 0.000, 0.000)
Pm (0.333, 0.667, 0.000)
Pm (0.667, 0.333, 0.000)
Pr (0.500, 0.500, 0.500)
Tm (0.082, 0.418, 0.256)
Tm (0.245, 0.245, 0.745)
Tm (0.418, 0.082, 0.256)
Tm (0.582, 0.918, 0.744)
Tm (0.755, 0.755, 0.255)
Tm (0.918, 0.582, 0.744)
Sc (0.167, 0.833, 0.500)
Sc (0.833, 0.167, 0.500)

Calculated values
SG ... C2/m



(2)
DFT (PBE) results for an optimized crystal structure of Pm2PrTmSc.

Cell lengths 7.041, 7.041, 7.192 Å; angles 90.00, 90.00, 108.29 degrees
Sites, in units of the cell vectors:
Pm (0.199, 0.199, 0.000)
Pm (0.199, 0.199, 0.500)
Pm (0.801, 0.801, 0.000)
Pm (0.801, 0.801, 0.500)
Pr (0.229, 0.771, 0.750)
Pr (0.771, 0.229, 0.250)
Tm (0.239, 0.761, 0.250)
Tm (0.761, 0.239, 0.750)
Sc (0.491, 0.509, 0.750)
Sc (0.509, 0.491, 0.250)

Calculated values
SG ... Cmcm



(3)
DFT (PBE) results for an optimized crystal structure of PmPr2Tm4Sc.

Cell lengths 9.408, 9.408, 9.408 Å; angles 138.02, 102.98, 91.83 degrees
Sites, in units of the cell vectors:
Pm (0.000, 0.000, 0.000)
Pm (0.500, 0.000, 0.500)
Pr (0.000, 0.500, 0.500)
Pr (0.500, 0.000, 0.000)
Pr (0.500, 0.500, 0.000)
Pr (0.500, 0.500, 0.500)
Tm (0.233, 0.250, 0.983)
Tm (0.233, 0.750, 0.483)
Tm (0.235, 0.235, 0.500)
Tm (0.235, 0.736, 0.000)
Tm (0.765, 0.264, 0.000)
Tm (0.765, 0.765, 0.500)
Tm (0.767, 0.250, 0.517)
Tm (0.767, 0.750, 0.017)
Sc (0.000, 0.000, 0.500)
Sc (0.000, 0.500, 0.000)

Calculated values
SG ... Imma



(4)
DFT (PBE) results for an optimized crystal structure of Pm2PrTm5Sc.

Cell lengths 10.185, 10.185, 10.400 Å; angles 90.00, 90.00, 148.31 degrees
Sites, in units of the cell vectors:
Pm (0.112, 0.888, 0.500)
Pm (0.115, 0.885, 0.918)
Pm (0.885, 0.115, 0.418)
Pm (0.888, 0.112, 0.000)
Pr (0.414, 0.586, 0.642)
Pr (0.586, 0.414, 0.142)
Tm (0.018, 0.982, 0.207)
Tm (0.277, 0.723, 0.509)
Tm (0.297, 0.703, 0.891)
Tm (0.376, 0.624, 0.204)
Tm (0.481, 0.519, 0.924)
Tm (0.519, 0.481, 0.424)
Tm (0.624, 0.376, 0.704)
Tm (0.703, 0.297, 0.391)
Tm (0.723, 0.277, 0.009)
Tm (0.982, 0.018, 0.707)
Sc (0.198, 0.802, 0.200)
Sc (0.802, 0.198, 0.700)

Calculated values
SG ... Cmc2_1



(5)
DFT (PBE) results for an optimized crystal structure of Pm4PrTm2Sc.

Cell lengths 5.049, 5.066, 10.045 Å; angles 90.00, 90.00, 90.00 degrees
Sites, in units of the cell vectors:
Pm (0.000, 0.000, 0.250)
Pm (0.000, 0.000, 0.750)
Pm (0.500, 0.500, 0.250)
Pm (0.500, 0.500, 0.750)
Pr (0.000, 0.500, 0.000)
Tm (0.000, 0.500, 0.500)
Tm (0.500, 0.000, 0.500)
Sc (0.500, 0.000, 0.000)

Calculated values
SG ... Pmmm



(6)
DFT (PBE) results for an optimized crystal structure of PmPrTmSc.

Cell lengths 6.723, 6.723, 6.723 Å; angles 147.00, 129.96, 61.26 degrees
Sites, in units of the cell vectors:
Pm (0.000, 0.000, 0.000)
Pr (0.276, 0.776, 0.500)
Tm (0.738, 0.238, 0.500)
Sc (0.511, 0.511, 0.000)

Calculated values
SG ... Imm2



(7)
DFT (PBE) results for an optimized crystal structure of Pm2Pr4TmSc.

Cell lengths 5.129, 5.159, 10.076 Å; angles 90.00, 90.05, 90.00 degrees
Sites, in units of the cell vectors:
Pm (0.000, 0.000, 0.000)
Pm (0.500, 0.500, 0.500)
Pr (0.000, 0.500, 0.246)
Pr (0.000, 0.500, 0.754)
Pr (0.500, 0.000, 0.247)
Pr (0.500, 0.000, 0.753)
Tm (0.000, 0.000, 0.500)
Sc (0.500, 0.500, 0.000)

Calculated values
SG ... P2/m



(8)
DFT (PBE) results for an optimized crystal structure of PmPr5Tm2Sc.

Cell lengths 11.304, 11.304, 10.360 Å; angles 90.00, 90.00, 152.39 degrees
Sites, in units of the cell vectors:
Pm (0.101, 0.899, 0.500)
Pm (0.899, 0.101, 0.000)
Pr (0.000, 0.000, 0.250)
Pr (0.000, 0.000, 0.750)
Pr (0.127, 0.873, 0.000)
Pr (0.221, 0.779, 0.311)
Pr (0.222, 0.778, 0.687)
Pr (0.498, 0.502, 0.500)
Pr (0.502, 0.498, 0.000)
Pr (0.778, 0.222, 0.187)
Pr (0.779, 0.221, 0.811)
Pr (0.873, 0.127, 0.500)
Tm (0.384, 0.616, 0.247)
Tm (0.384, 0.616, 0.753)
Tm (0.616, 0.384, 0.253)
Tm (0.616, 0.384, 0.747)
Sc (0.286, 0.714, 0.999)
Sc (0.714, 0.286, 0.499)

Calculated values
SG ... Cmc2_1



(9)
DFT (PBE) results for an optimized crystal structure of Pm2PrY5Sc.

Cell lengths 10.367, 10.367, 10.473 Å; angles 90.00, 90.00, 148.50 degrees
Sites, in units of the cell vectors:
Pm (0.112, 0.888, 0.500)
Pm (0.115, 0.885, 0.920)
Pm (0.885, 0.115, 0.420)
Pm (0.888, 0.112, 0.000)
Pr (0.412, 0.588, 0.638)
Pr (0.588, 0.412, 0.138)
Y (0.017, 0.983, 0.204)
Y (0.274, 0.726, 0.516)
Y (0.296, 0.704, 0.888)
Y (0.371, 0.629, 0.206)
Y (0.481, 0.519, 0.924)
Y (0.519, 0.481, 0.424)
Y (0.629, 0.371, 0.706)
Y (0.704, 0.296, 0.388)
Y (0.726, 0.274, 0.016)
Y (0.983, 0.017, 0.704)
Sc (0.194, 0.806, 0.201)
Sc (0.806, 0.194, 0.701)

Calculated values
SG ... Cmc2_1



(10)
DFT (PBE) results for an optimized crystal structure of PmPrYSc.

Cell lengths 6.766, 6.766, 3.829 Å; angles 106.25, 106.25, 50.09 degrees
Sites, in units of the cell vectors:
Pm (0.000, 0.000, 0.000)
Pr (0.725, 0.725, 0.205)
Y (0.266, 0.266, 0.749)
Sc (0.494, 0.494, 0.482)

Calculated values
SG ... Cm



(11)
DFT (PBE) results for an optimized crystal structure of Pm4Pr2YSc.

Cell lengths 5.100, 5.117, 10.183 Å; angles 90.00, 90.00, 90.00 degrees
Sites, in units of the cell vectors:
Pm (0.000, 0.000, 0.244)
Pm (0.000, 0.000, 0.756)
Pm (0.500, 0.500, 0.245)
Pm (0.500, 0.500, 0.755)
Pr (0.000, 0.500, 0.000)
Pr (0.500, 0.000, 0.500)
Y (0.000, 0.500, 0.500)
Sc (0.500, 0.000, 0.000)

Calculated values
SG ... Pmmm



(12)
DFT (PBE) results for an optimized crystal structure of PmPrY3Sc.

Cell lengths 7.974, 7.974, 10.051 Å; angles 90.00, 90.00, 143.21 degrees
Sites, in units of the cell vectors:
Pm (0.003, 0.997, 0.750)
Pm (0.997, 0.003, 0.250)
Pr (0.500, 0.500, 0.000)
Pr (0.500, 0.500, 0.500)
Y (0.168, 0.832, 0.501)
Y (0.168, 0.832, 0.999)
Y (0.330, 0.670, 0.750)
Y (0.670, 0.330, 0.250)
Y (0.832, 0.168, 0.001)
Y (0.832, 0.168, 0.499)
Sc (0.332, 0.668, 0.250)
Sc (0.668, 0.332, 0.750)

Calculated values
SG ... Cmcm



Calculated energy relative to the elements, 47, 166, 319, 144, 22, 37, 23, 111, 137, 38, 23, 25 kJ/mol of formula units (same order as the records).